Crystalline BaLaW3 at its relaxed geometry, computed with GGA-PBE.

abc: 5.099 5.099 5.099
angles: 90.00 90.00 90.00
Atoms (fractional coordinates):
Ba: 0.000 0.000 0.000
La: 0.500 0.500 0.500
W: 0.000 0.500 0.500
W: 0.500 0.000 0.500
W: 0.500 0.500 0.000

polymorph energy (0 for the lowest one) = 0.000 eV/atom
VASP energy = -32.983 eV per cell
space group = Pm-3m, No. 221

---

Crystalline BaLaW at its relaxed geometry, computed with GGA-PBE.

abc: 5.236 5.236 5.236
angles: 60.00 60.00 60.00
Atoms (fractional coordinates):
Ba: 0.000 0.000 0.000
La: 0.500 0.500 0.500
W: 0.250 0.250 0.250

polymorph energy (0 for the lowest one) = 0.335 eV/atom
VASP energy = -16.047 eV per cell
space group = F-43m, No. 216

---

Crystalline BaLaW2 at its relaxed geometry, computed with GGA-PBE.

abc: 3.366 5.329 6.994
angles: 90.00 95.10 90.00
Atoms (fractional coordinates):
Ba: 0.000 0.000 0.000
La: 0.500 0.000 0.500
W: 0.262 0.500 0.633
W: 0.738 0.500 0.367

polymorph energy (0 for the lowest one) = 0.416 eV/atom
VASP energy = -28.660 eV per cell
space group = P2/m, No. 10

---

Crystalline BaLaW2 at its relaxed geometry, computed with GGA-PBE.

abc: 6.686 6.686 6.686
angles: 100.56 100.56 129.29
Atoms (fractional coordinates):
Ba: 0.000 0.000 0.000
Ba: 0.750 0.250 0.500
La: 0.250 0.750 0.500
La: 0.500 0.500 0.000
W: 0.139 0.625 0.014
W: 0.375 0.389 0.514
W: 0.611 0.125 0.986
W: 0.875 0.861 0.486

polymorph energy (0 for the lowest one) = 1.198 eV/atom
VASP energy = -51.061 eV per cell
space group = I-42d, No. 122